Computed, not measured: a relaxed structure of Hf2Ag at the GGA-PBEsol level of DFT.

Properties
Space-group type = I4/mmm (139)
DFT formation energy = -0.4 eV/f.u.
Total magnetization = 0.00 μB per formula unit
Calculated density = 13.00 g/cm³
E = -0.6057 Ry/atom
Volume = 19.8 Å³ per atom

Lattice parameters (Å, degrees): 3.1737 3.1737 6.3065 104.57 104.57 90.00
Atoms (fractional coordinates):
Hf1 0.3355 0.3355 0.6710
Hf2 0.6645 0.6645 0.3290
Ag1 0.0000 0.0000 0.0000